Below is a relaxed structure of NdCoB5O10, with properties calculated at the PBE with a Hubbard U level.

Geometry as extended XYZ:
```
68
Lattice="7.675 0.000 0.000 0.000 8.789 0.001 0.000 0.460 9.506" Properties=species:S:1:pos:R:3 pbc="T T T"
B 4.569 1.348 0.024
O 6.710 2.739 0.084
B 2.417 0.817 3.939
O 4.098 1.676 1.274
O 5.000 1.812 3.514
Co 6.979 1.051 3.555
O 3.576 7.572 8.233
O 4.016 5.433 6.125
O 7.346 6.609 3.653
O 4.802 7.363 4.837
B 3.225 8.346 7.001
O 1.162 2.813 1.239
O 2.657 4.840 8.851
O 7.032 4.368 1.808
O 0.261 2.948 3.480
B 6.943 5.973 4.777
O 0.642 4.880 7.698
B 5.163 4.543 5.780
O 6.848 7.322 0.808
O 0.965 6.510 9.423
O 5.018 4.409 0.656
B 1.420 5.442 8.692
Nd 5.271 6.121 2.508
B 4.096 2.682 4.253
Co 4.533 5.675 8.308
O 3.508 6.804 1.101
O 2.675 7.437 5.993
Nd 6.241 1.957 7.261
O 3.011 6.091 3.945
Co 0.696 8.198 5.952
B 7.063 5.527 7.259
O 5.961 4.988 4.636
B 4.449 0.903 2.506
O 4.664 3.158 5.561
O 1.671 4.748 2.489
O 4.166 2.445 8.406
O 7.414 6.300 6.027
Nd 2.404 3.127 6.998
O 5.551 0.823 9.389
B 6.255 3.807 0.814
Co 3.142 3.573 1.198
O 6.004 4.501 7.017
O 1.714 4.261 4.870
O 2.167 0.583 7.242
B 0.259 1.942 0.500
O 3.195 0.256 2.945
O 0.179 8.440 8.135
B 5.257 8.431 5.567
O 1.180 0.216 4.097
Nd 1.434 7.292 2.245
B 7.416 7.307 9.006
O 4.480 8.993 6.561
O 6.512 6.436 8.267
B 2.512 4.706 3.726
O 7.496 0.808 1.372
O 3.659 3.816 3.381
O 0.329 2.639 5.853
B 1.326 0.541 8.479
O 2.124 8.426 0.118
O 5.508 8.665 2.265
B 3.578 6.566 5.253
O 6.494 9.033 5.409
B 0.612 3.722 2.247
O 0.826 1.926 8.698
O 2.873 1.886 4.669
B 6.349 8.708 1.028
B 3.106 7.900 9.483
B 0.731 3.276 4.730
```

space group = P2_1/c, No. 14
DOS(E_F) = 0.000 states/eV per atom
DFT total energy = -7.93 eV/atom